Entry from the Open Quantum Materials Database: a geometry-optimized NbAgB structure (GGA-PBE).

Structure (POSCAR):
```
NbAgB
1.0
5.9045 0.0000 0.0000
0.0000 5.9045 0.0000
0.0000 0.0000 5.9045
Nb Ag B
4 4 4
Direct
0.0000 0.0000 0.0000 Nb
0.0000 0.5000 0.5000 Nb
0.5000 0.0000 0.5000 Nb
0.5000 0.5000 0.0000 Nb
0.2500 0.2500 0.7500 Ag
0.2500 0.7500 0.2500 Ag
0.7500 0.2500 0.2500 Ag
0.7500 0.7500 0.7500 Ag
0.2500 0.2500 0.2500 B
0.2500 0.7500 0.7500 B
0.7500 0.2500 0.7500 B
0.7500 0.7500 0.2500 B
```

Values from the calculation:
- Mass density: 6.8 Mg/m³
- Total moment: 0.0 μB per formula unit
- ΔE to the lowest computed polymorph: 0.0 meV per atom
- Energy: -5.35 eV/atom
- SG: F-43m (216)